(1)
A plane-wave DFT calculation with PBE was carried out for an optimized crystal structure of CeF3.

Geometry as POSCAR:
```
CeF3
1.0
1.9198 -4.0244 0.0000
1.9198 4.0244 0.0000
0.0000 0.0000 7.3617
Ce F
2 6
direct
0.2408 0.7592 0.7500
0.7592 0.2408 0.2500
0.1597 0.8403 0.0701
0.1597 0.8403 0.4299
0.4563 0.5437 0.2500
0.5437 0.4563 0.7500
0.8403 0.1597 0.5701
0.8403 0.1597 0.9299
```

Values from the calculation:
symmetry = Cmcm
energy relative to the elements, uncorrected = -15.907 eV per formula unit
uncorrected energy = -6.864 eV per atom
density of states at the Fermi level = 1.78 states/eV/atom


(2)
A plane-wave DFT calculation with PBE was carried out for an optimized crystal structure of Ce2F13.

Geometry as POSCAR:
```
Ce2F13
1.0
5.7211 0.0000 0.0000
1.4657 5.6524 0.0000
2.4131 2.1403 6.7125
Ce F
2 13
direct
0.1642 0.1660 0.0968
0.8358 0.8340 0.9032
0.0000 0.0000 0.5000
0.0904 0.1317 0.8303
0.1705 0.3252 0.3082
0.2005 0.5859 0.9093
0.3673 0.5255 0.5225
0.4190 0.0230 0.5907
0.4345 0.8066 0.1178
0.5655 0.1934 0.8822
0.5810 0.9770 0.4093
0.6327 0.4745 0.4775
0.7995 0.4141 0.0907
0.8295 0.6748 0.6918
0.9096 0.8683 0.1697
```

Values from the calculation:
symmetry = P-1
energy relative to the elements, uncorrected = -35.451 eV per formula unit
uncorrected energy = -4.776 eV per atom


(3)
A plane-wave DFT calculation with PBE was carried out for an optimized crystal structure of CeF3.

Geometry as POSCAR:
```
CeF3
1.0
7.1704 0.0000 0.0000
-3.5852 6.2097 0.0000
0.0000 0.0000 7.1049
Ce F
6 18
direct
0.0000 0.3257 0.2500
0.0000 0.6743 0.7500
0.3257 0.0000 0.2500
0.3257 0.3257 0.7500
0.6743 0.0000 0.7500
0.6743 0.6743 0.2500
0.0000 0.0000 0.0000
0.0000 0.0000 0.5000
0.0000 0.3433 0.5828
0.0000 0.3433 0.9172
0.0000 0.6567 0.0828
0.0000 0.6567 0.4172
0.3333 0.6667 0.2500
0.3333 0.6667 0.7500
0.3433 0.0000 0.5828
0.3433 0.0000 0.9172
0.3433 0.3433 0.0828
0.3433 0.3433 0.4172
0.6567 0.0000 0.0828
0.6567 0.0000 0.4172
0.6567 0.6567 0.5828
0.6567 0.6567 0.9172
0.6667 0.3333 0.2500
0.6667 0.3333 0.7500
```

Values from the calculation:
symmetry = P6_3/mcm
energy relative to the elements, uncorrected = -15.346 eV per formula unit
uncorrected energy = -6.723 eV per atom
density of states at the Fermi level = 1.97 states/eV/atom


(4)
A plane-wave DFT calculation with PBE was carried out for an optimized crystal structure of CeF5.

Geometry as POSCAR:
```
CeF5
1.0
1.8806 -4.9232 0.0000
1.8806 4.9232 0.0000
0.0000 0.0000 4.0708
Ce F
1 5
direct
0.0000 0.0000 0.0000
0.1305 0.8695 0.5000
0.3648 0.6352 0.0000
0.5000 0.5000 0.5000
0.6352 0.3648 0.0000
0.8695 0.1305 0.5000
```

Values from the calculation:
symmetry = Cmmm
relative energy among the computed polymorphs = 23 meV/atom
energy relative to the elements, uncorrected = -16.965 eV per formula unit
uncorrected energy = -5.376 eV per atom
density of states at the Fermi level = 0.34 states/eV/atom


(5)
A plane-wave DFT calculation with PBE was carried out for an optimized crystal structure of CeF3.

Geometry as POSCAR:
```
CeF3
1.0
7.1751 0.0000 0.0000
-3.5876 6.2138 0.0000
0.0000 0.0000 7.3244
Ce F
6 18
direct
0.0000 0.3428 0.2500
0.0000 0.6572 0.7500
0.3428 0.0000 0.2500
0.3428 0.3428 0.7500
0.6572 0.0000 0.7500
0.6572 0.6572 0.2500
0.0000 0.0000 0.2500
0.0000 0.0000 0.7500
0.0616 0.3706 0.9204
0.0616 0.6910 0.4204
0.3090 0.3706 0.4204
0.3090 0.9384 0.9204
0.3333 0.6667 0.1840
0.3333 0.6667 0.6840
0.3706 0.0616 0.5796
0.3706 0.3090 0.0796
0.6294 0.6910 0.9204
0.6294 0.9384 0.4204
0.6667 0.3333 0.3160
0.6667 0.3333 0.8160
0.6910 0.0616 0.0796
0.6910 0.6294 0.5796
0.9384 0.3090 0.5796
0.9384 0.6294 0.0796
```

Values from the calculation:
symmetry = P-3c1
energy relative to the elements, uncorrected = -15.931 eV per formula unit
uncorrected energy = -6.870 eV per atom
density of states at the Fermi level = 2.01 states/eV/atom


(6)
A plane-wave DFT calculation with PBE was carried out for an optimized crystal structure of Ce2F5.

Geometry as POSCAR:
```
Ce2F5
1.0
6.3244 -3.0699 0.0000
6.3244 3.0699 0.0000
-0.0969 0.0000 5.1505
Ce F
4 10
direct
0.1227 0.6364 0.9967
0.3636 0.8773 0.5033
0.6364 0.1227 0.4967
0.8773 0.3636 0.0033
0.0728 0.7768 0.5032
0.2232 0.9272 0.9968
0.2591 0.2691 0.2500
0.2691 0.2591 0.7500
0.4993 0.5007 0.2500
0.5007 0.4993 0.7500
0.7309 0.7409 0.2500
0.7409 0.7309 0.7500
0.7768 0.0728 0.0032
0.9272 0.2232 0.4968
```

Values from the calculation:
symmetry = C2/c
relative energy among the computed polymorphs = 59 meV/atom
energy relative to the elements, uncorrected = -25.722 eV per formula unit
uncorrected energy = -6.707 eV per atom
density of states at the Fermi level = 1.81 states/eV/atom


Q: Which value of uncorrected energy does entry 2 give?
A: -4.776 eV per atom